No. 1
# PBE TbCePuHg, optimized geometry
data_TbCePuHg
_space_group_name_H-M_alt 'F -4 3 m'
_space_group_IT_number 216
_space_group_name_Hall 'F -4 2 3'
_cell_length_a 7.546
_cell_length_b 7.546
_cell_length_c 7.546
_cell_angle_alpha 90.00
_cell_angle_beta 90.00
_cell_angle_gamma 90.00
loop_
_atom_site_label
_atom_site_type_symbol
_atom_site_fract_x
_atom_site_fract_y
_atom_site_fract_z
Tb1 Tb 0.000 0.000 0.000
Ce1 Ce 0.000 0.000 0.500
Pu1 Pu 0.250 0.250 0.750
Hg1 Hg 0.250 0.250 0.250
# crystal system = cubic
# ΔH_f (0 K) = -33 meV per atom
# DFT total energy = -25.33 eV/f.u.
# magnetic moment = 35.32 μB/cell

No. 2
# PBE Ac8Tb2Er, optimized geometry
data_Ac8Tb2Er
_space_group_name_H-M_alt 'C 1 2/m 1'
_space_group_IT_number 12
_space_group_name_Hall '-C 2y'
_cell_length_a 19.589
_cell_length_b 5.526
_cell_length_c 8.657
_cell_angle_alpha 90.00
_cell_angle_beta 105.49
_cell_angle_gamma 90.00
loop_
_atom_site_label
_atom_site_type_symbol
_atom_site_fract_x
_atom_site_fract_y
_atom_site_fract_z
Ac1 Ac 0.047 0.000 0.230
Ac2 Ac 0.094 0.500 0.952
Ac3 Ac 0.138 0.000 0.690
Ac4 Ac 0.181 0.500 0.415
Tb1 Tb 0.226 0.000 0.132
Er1 Er 0.000 0.500 0.500
# crystal system = monoclinic
# ΔH_f (0 K) = 52 meV per atom
# DFT total energy = -46.12 eV/f.u.
# magnetic moment = 0.00 μB/cell

No. 3
# PBE MoPb5, optimized geometry
data_MoPb5
_space_group_name_H-M_alt 'P 4/m m m'
_space_group_IT_number 123
_space_group_name_Hall '-P 4 2'
_cell_length_a 3.472
_cell_length_b 3.472
_cell_length_c 13.721
_cell_angle_alpha 90.00
_cell_angle_beta 90.00
_cell_angle_gamma 90.00
loop_
_atom_site_label
_atom_site_type_symbol
_atom_site_fract_x
_atom_site_fract_y
_atom_site_fract_z
Mo1 Mo 0.000 0.000 0.000
Pb1 Pb 0.000 0.000 0.317
Pb2 Pb 0.500 0.500 0.124
Pb3 Pb 0.500 0.500 0.500
# crystal system = tetragonal
# ΔH_f (0 K) = 358 meV per atom
# energy above the most stable polymorph in this dataset = 0.000 eV/atom
# DFT total energy = -27.22 eV/f.u.
# magnetic moment = 0.71 μB/cell

No. 4
# PBE Th4Hg5Pd2, optimized geometry
data_Th4Hg5Pd2
_space_group_name_H-M_alt 'P 1 2/m 1'
_space_group_IT_number 10
_space_group_name_Hall '-P 2y'
_cell_length_a 7.861
_cell_length_b 3.791
_cell_length_c 9.696
_cell_angle_alpha 90.00
_cell_angle_beta 94.18
_cell_angle_gamma 90.00
loop_
_atom_site_label
_atom_site_type_symbol
_atom_site_fract_x
_atom_site_fract_y
_atom_site_fract_z
Th1 Th 0.193 0.000 0.358
Th2 Th 0.229 0.000 0.929
Hg1 Hg 0.155 0.500 0.638
Hg2 Hg 0.453 0.500 0.169
Hg3 Hg 0.500 0.500 0.500
Pd1 Pd 0.076 0.500 0.136
# crystal system = monoclinic
# ΔH_f (0 K) = -413 meV per atom
# DFT total energy = -46.12 eV/f.u.
# magnetic moment = 0.00 μB/cell

No. 5
# PBE SrSn2Hg, optimized geometry
data_SrSn2Hg
_space_group_name_H-M_alt 'C m c m'
_space_group_IT_number 63
_space_group_name_Hall '-C 2c 2'
_cell_length_a 4.791
_cell_length_b 18.116
_cell_length_c 11.204
_cell_angle_alpha 90.00
_cell_angle_beta 90.00
_cell_angle_gamma 90.00
loop_
_atom_site_label
_atom_site_type_symbol
_atom_site_fract_x
_atom_site_fract_y
_atom_site_fract_z
Sr1 Sr 0.000 0.000 0.000
Sr2 Sr 0.000 0.183 0.250
Sn1 Sn 0.000 0.198 0.596
Sn2 Sn 0.000 0.377 0.250
Sn3 Sn 0.000 0.462 0.750
Hg1 Hg 0.000 0.363 0.539
# crystal system = orthorhombic
# ΔH_f (0 K) = -365 meV per atom
# DFT total energy = -11.45 eV/f.u.
# magnetic moment = 0.00 μB/cell

No. 6
# PBE Pr3MgGa3, optimized geometry
data_Pr3MgGa3
_space_group_name_H-M_alt 'P 63/m'
_space_group_IT_number 176
_space_group_name_Hall '-P 6c'
_cell_length_a 9.2194
_cell_length_b 9.2194
_cell_length_c 5.7262
_cell_angle_alpha 90.00
_cell_angle_beta 90.00
_cell_angle_gamma 120.00
loop_
_atom_site_label
_atom_site_type_symbol
_atom_site_fract_x
_atom_site_fract_y
_atom_site_fract_z
Pr1 Pr 0.0279 0.3075 0.2500
Mg1 Mg 0.3333 0.6667 0.7500
Ga1 Ga 0.0143 0.3867 0.7500
# crystal system = hexagonal
# ΔH_f (0 K) = -195 meV per atom
# DFT total energy = -26.38 eV/f.u.
# magnetic moment = 0.00 μB/cell

No. 7
# PBE RbInSe3, optimized geometry
data_RbInSe3
_space_group_name_H-M_alt 'P m -3 m'
_space_group_IT_number 221
_space_group_name_Hall '-P 4 2 3'
_cell_length_a 6.212
_cell_length_b 6.212
_cell_length_c 6.212
_cell_angle_alpha 90.00
_cell_angle_beta 90.00
_cell_angle_gamma 90.00
loop_
_atom_site_label
_atom_site_type_symbol
_atom_site_fract_x
_atom_site_fract_y
_atom_site_fract_z
Rb1 Rb 0.000 0.000 0.000
In1 In 0.500 0.500 0.500
Se1 Se 0.000 0.000 0.500
# crystal system = cubic
# DFT total energy = -10.78 eV/f.u.
# magnetic moment = 4.00 μB/cell
# formation energy (no corrections) = 65.3 kJ per mole of atoms

No. 8
# PBE RbSrBe2V, optimized geometry
data_RbSrBe2V
_space_group_name_H-M_alt 'P 4/m m m'
_space_group_IT_number 123
_space_group_name_Hall '-P 4 2'
_cell_length_a 5.719
_cell_length_b 5.719
_cell_length_c 5.468
_cell_angle_alpha 90.00
_cell_angle_beta 90.00
_cell_angle_gamma 90.00
loop_
_atom_site_label
_atom_site_type_symbol
_atom_site_fract_x
_atom_site_fract_y
_atom_site_fract_z
Rb1 Rb 0.000 0.000 0.000
Sr1 Sr 0.500 0.500 0.500
Be1 Be 0.000 0.500 0.500
V1 V 0.500 0.500 0.000
# crystal system = tetragonal
# ΔH_f (0 K) = 2063 meV per atom
# DFT total energy = -8.91 eV/f.u.
# magnetic moment = 0.32 μB/cell

No. 9
# PBE CdTe2RuI, optimized geometry
data_CdTe2RuI
_space_group_name_H-M_alt 'P 4/m m m'
_space_group_IT_number 123
_space_group_name_Hall '-P 4 2'
_cell_length_a 5.565
_cell_length_b 5.565
_cell_length_c 5.839
_cell_angle_alpha 90.00
_cell_angle_beta 90.00
_cell_angle_gamma 90.00
loop_
_atom_site_label
_atom_site_type_symbol
_atom_site_fract_x
_atom_site_fract_y
_atom_site_fract_z
Cd1 Cd 0.000 0.000 0.000
Te1 Te 0.000 0.500 0.000
Ru1 Ru 0.500 0.500 0.500
I1 I 0.000 0.000 0.500
# crystal system = tetragonal
# energy above the most stable polymorph in this dataset = 0.983 eV/atom
# DFT total energy = -12.02 eV/f.u.
# magnetic moment = 3.90 μB/cell
# formation energy (no corrections) = 115.9 kJ per mole of atoms

No. 10
# PBE SmTlHgTe3, optimized geometry
data_SmTlHgTe3
_space_group_name_H-M_alt 'P 1 21/m 1'
_space_group_IT_number 11
_space_group_name_Hall '-P 2yb'
_cell_length_a 9.434
_cell_length_b 4.543
_cell_length_c 10.537
_cell_angle_alpha 90.00
_cell_angle_beta 105.92
_cell_angle_gamma 90.00
loop_
_atom_site_label
_atom_site_type_symbol
_atom_site_fract_x
_atom_site_fract_y
_atom_site_fract_z
Sm1 Sm 0.178 0.250 0.143
Tl1 Tl 0.288 0.750 0.771
Hg1 Hg 0.406 0.750 0.388
Te1 Te 0.046 0.250 0.837
Te2 Te 0.263 0.250 0.469
Te3 Te 0.406 0.750 0.119
# crystal system = monoclinic
# DFT total energy = -21.13 eV/f.u.
# magnetic moment = 0.00 μB/cell
# formation energy (no corrections) = -69.5 kJ per mole of atoms

No. 11
# PBE PmDyY2As4, optimized geometry
data_PmDyY2As4
_space_group_name_H-M_alt 'P 1 2/m 1'
_space_group_IT_number 10
_space_group_name_Hall '-P 2y'
_cell_length_a 7.189
_cell_length_b 4.154
_cell_length_c 7.191
_cell_angle_alpha 90.00
_cell_angle_beta 109.48
_cell_angle_gamma 90.00
loop_
_atom_site_label
_atom_site_type_symbol
_atom_site_fract_x
_atom_site_fract_y
_atom_site_fract_z
Pm1 Pm 0.000 0.000 0.000
Dy1 Dy 0.000 0.500 0.500
Y1 Y 0.500 0.000 0.500
Y2 Y 0.500 0.500 0.000
As1 As 0.252 0.000 0.747
As2 As 0.254 0.500 0.255
# crystal system = monoclinic
# ΔH_f (0 K) = -1541 meV per atom
# DFT total energy = -53.21 eV/f.u.
# magnetic moment = 0.00 μB/cell

No. 12
# PBE Zr2CdHg, optimized geometry
data_Zr2CdHg
_space_group_name_H-M_alt 'I m m m'
_space_group_IT_number 71
_space_group_name_Hall '-I 2 2'
_cell_length_a 3.067
_cell_length_b 5.234
_cell_length_c 12.222
_cell_angle_alpha 90.00
_cell_angle_beta 90.00
_cell_angle_gamma 90.00
loop_
_atom_site_label
_atom_site_type_symbol
_atom_site_fract_x
_atom_site_fract_y
_atom_site_fract_z
Zr1 Zr 0.000 0.000 0.244
Cd1 Cd 0.000 0.000 0.500
Hg1 Hg 0.000 0.000 0.000
# crystal system = orthorhombic
# ΔH_f (0 K) = 396 meV per atom
# energy above the most stable polymorph in this dataset = 0.544 eV/atom
# DFT total energy = -16.73 eV/f.u.
# magnetic moment = 0.00 μB/cell

No. 13
# PBE TbNd5Sm2Er, optimized geometry
data_TbNd5Sm2Er
_space_group_name_H-M_alt 'I 4/m c m'
_space_group_IT_number 140
_space_group_name_Hall '-I 4 2c'
_cell_length_a 8.665
_cell_length_b 8.665
_cell_length_c 16.573
_cell_angle_alpha 90.00
_cell_angle_beta 90.00
_cell_angle_gamma 90.00
loop_
_atom_site_label
_atom_site_type_symbol
_atom_site_fract_x
_atom_site_fract_y
_atom_site_fract_z
Tb1 Tb 0.000 0.000 0.250
Nd1 Nd 0.000 0.000 0.000
Nd2 Nd 0.215 0.285 0.142
Sm1 Sm 0.121 0.379 0.500
Er1 Er 0.000 0.500 0.250
# crystal system = tetragonal
# ΔH_f (0 K) = 287 meV per atom
# DFT total energy = -39.89 eV/f.u.
# magnetic moment = 0.00 μB/cell

No. 14
# PBE NbSn3H, optimized geometry
data_NbSn3H
_space_group_name_H-M_alt 'P m -3 m'
_space_group_IT_number 221
_space_group_name_Hall '-P 4 2 3'
_cell_length_a 4.596
_cell_length_b 4.596
_cell_length_c 4.596
_cell_angle_alpha 90.00
_cell_angle_beta 90.00
_cell_angle_gamma 90.00
loop_
_atom_site_label
_atom_site_type_symbol
_atom_site_fract_x
_atom_site_fract_y
_atom_site_fract_z
Nb1 Nb 0.000 0.000 0.000
Sn1 Sn 0.000 0.500 0.500
H1 H 0.500 0.500 0.500
# crystal system = cubic
# energy above the most stable polymorph in this dataset = 0.000 eV/atom
# DFT total energy = -23.12 eV/f.u.
# magnetic moment = 1.61 μB/cell